This record from Alexandria via LeMat-Bulk describes crystalline Pm3Sm6Ho2Tl at its relaxed geometry. The functional is GGA-PBE.

Values from the calculation:
- ρ (g/cm³) = 8.0
- E_form (eV/atom) = -0.01

Unit cell a=6.232 b=6.232 c=11.799 alpha=95.13 beta=95.13 gamma=120.16
Element x y z (fractional)
1 Pm 0.000 0.000 0.000
2 Pm 0.332 0.668 0.000
3 Pm 0.668 0.332 0.000
4 Sm 0.093 0.420 0.256
5 Sm 0.253 0.253 0.746
6 Sm 0.420 0.093 0.256
7 Sm 0.580 0.907 0.744
8 Sm 0.747 0.747 0.254
9 Sm 0.907 0.580 0.744
10 Ho 0.166 0.834 0.500
11 Ho 0.834 0.166 0.500
12 Tl 0.500 0.500 0.500